No. 1
DFT (PBE-GGA) results for a relaxed YFeCoB2 crystal.

Cell and atoms, written as POSCAR:
```
YFeCoB2
1.0
-1.803 1.803 4.638
1.803 -1.803 4.638
1.803 1.803 -4.638
Fe Co B Y
1 1 2 1
Cartesian
0.000 0.000 4.638 Fe
0.000 0.000 0.000 Co
0.000 1.803 3.802 B
0.000 1.803 0.837 B
1.803 0.000 2.319 Y
```

As for the total energy: -7.561 eV/atom.



No. 2
DFT (PBE-GGA) results for a relaxed ZrFeCoB crystal.

Cell and atoms, written as POSCAR:
```
ZrFeCoB
1.0
0.000 2.928 2.928
2.928 0.000 2.928
2.928 2.928 0.000
Zr B Fe Co
1 1 1 1
Cartesian
1.464 1.464 1.464 Zr
0.000 0.000 0.000 B
2.928 2.928 2.928 Fe
4.392 4.392 4.392 Co
```

As for the total energy: -7.472 eV/atom. The relative energy among the computed polymorphs comes out at 1.83 kcal/mol of atoms.



No. 3
DFT (PBE-GGA) results for a relaxed ZrFeCoB crystal.

Cell and atoms, written as POSCAR:
```
ZrFeCoB
1.0
0.000 2.868 2.868
2.868 0.000 2.868
2.868 2.868 0.000
Co Fe Zr B
1 1 1 1
Cartesian
4.302 4.302 4.302 Co
1.434 1.434 1.434 Fe
2.868 2.868 2.868 Zr
0.000 0.000 0.000 B
```

As for the total energy: -7.552 eV/atom. The relative energy among the computed polymorphs comes out at 0.00 kcal/mol of atoms.



No. 4
DFT (PBE-GGA) results for a relaxed ZrFeCoB crystal.

Cell and atoms, written as POSCAR:
```
ZrFeCoB
1.0
0.000 2.932 2.932
2.932 0.000 2.932
2.932 2.932 0.000
Fe Zr B Co
1 1 1 1
Cartesian
4.397 4.397 4.397 Fe
1.466 1.466 1.466 Zr
0.000 0.000 0.000 B
2.932 2.932 2.932 Co
```

As for the total energy: -7.508 eV/atom. The relative energy among the computed polymorphs comes out at 1.01 kcal/mol of atoms.



No. 5
DFT (PBE-GGA) results for a relaxed GaCoB4 crystal.

Cell and atoms, written as POSCAR:
```
GaCoB4
1.0
3.024 0.000 0.000
-1.512 2.619 0.000
0.000 0.000 6.687
Co B Ga
1 4 1
Cartesian
0.000 0.000 0.000 Co
1.512 0.873 1.403 B
0.000 1.746 1.403 B
1.512 0.873 5.284 B
0.000 1.746 5.284 B
0.000 0.000 3.344 Ga
```

As for the total energy: -5.918 eV/atom. The relative energy among the computed polymorphs comes out at 0.00 kcal/mol of atoms.



No. 6
DFT (PBE-GGA) results for a relaxed GaCoB4 crystal.

Cell and atoms, written as POSCAR:
```
GaCoB4
1.0
4.110 1.392 1.032
-0.152 -1.422 4.225
0.066 -1.564 -4.176
Ga B Co
1 4 1
Cartesian
1.979 -0.015 2.628 Ga
3.774 -0.122 -0.765 B
2.397 -0.065 0.272 B
1.626 -1.529 0.808 B
0.249 -1.472 1.845 B
0.000 0.000 0.000 Co
```

As for the total energy: -5.878 eV/atom. The relative energy among the computed polymorphs comes out at 0.93 kcal/mol of atoms.



No. 7
DFT (PBE-GGA) results for a relaxed Gd3Co11B4 crystal.

Cell and atoms, written as POSCAR:
```
Gd3Co11B4
1.0
5.050 0.000 0.000
-2.525 4.373 0.000
0.000 0.000 9.756
B Co Gd
4 11 3
Cartesian
2.525 1.458 3.413 B
0.000 2.915 3.413 B
0.000 2.916 6.343 B
2.525 1.458 6.343 B
0.000 2.916 0.000 Co
2.525 1.458 0.000 Co
1.262 2.187 4.878 Co
2.525 0.000 4.878 Co
-1.262 2.187 1.975 Co
1.262 2.187 1.975 Co
2.525 0.000 1.975 Co
-1.262 2.187 7.780 Co
-1.262 2.187 4.878 Co
1.262 2.187 7.780 Co
2.525 0.000 7.780 Co
0.000 0.000 6.420 Gd
0.000 0.000 0.000 Gd
0.000 0.000 3.336 Gd
```

As for the total energy: -6.923 eV/atom.



No. 8
DFT (PBE-GGA) results for a relaxed Gd2Co14B crystal.

Cell and atoms, written as POSCAR:
```
Gd2Co14B
1.0
-7.420 4.091 1.244
-4.105 -6.119 -4.364
-1.631 -5.970 9.904
Co B Gd
56 4 8
Cartesian
-7.234 -4.201 5.944 Co
-7.731 -0.221 0.338 Co
-5.955 -1.717 -0.394 Co
-3.770 -4.634 1.025 Co
-3.089 -6.960 6.620 Co
-6.567 -4.260 8.378 Co
-2.868 -6.044 2.770 Co
-8.266 -2.857 0.314 Co
-10.067 -1.038 0.164 Co
-2.252 -3.633 2.581 Co
-5.083 -0.588 3.247 Co
-4.891 -5.142 6.469 Co
-2.435 -4.963 7.596 Co
-6.575 -1.789 1.942 Co
-4.207 -3.319 -0.950 Co
-5.663 -2.709 6.767 Co
-10.491 -2.853 1.694 Co
-9.807 -4.963 0.535 Co
-9.092 -5.881 5.332 Co
-5.122 -5.770 -0.834 Co
-4.526 -0.940 5.574 Co
-2.937 -1.524 3.740 Co
-0.623 -2.282 3.786 Co
-8.073 -7.411 3.536 Co
-10.220 -6.475 3.044 Co
-3.109 0.187 2.048 Co
-8.996 -4.336 -1.648 Co
-7.229 0.718 2.730 Co
-8.807 -1.243 2.239 Co
-4.349 -6.755 4.544 Co
-11.118 -4.886 6.548 Co
-7.807 -8.196 5.801 Co
-5.425 -7.777 6.446 Co
-7.202 -6.281 7.178 Co
-5.927 -8.716 4.053 Co
-5.923 -3.797 0.839 Co
-5.350 0.198 0.982 Co
-9.387 -3.365 5.759 Co
-1.463 -1.406 1.694 Co
-4.064 -2.117 1.452 Co
-10.721 -3.035 -0.813 Co
-1.007 -3.688 6.118 Co
-8.949 -4.679 7.733 Co
-2.053 -3.059 -2.182 Co
-3.710 2.045 0.622 Co
-2.038 -3.112 0.236 Co
-11.693 -6.592 5.089 Co
-7.493 -5.289 0.016 Co
-6.589 -3.738 -1.595 Co
-8.034 -2.228 7.617 Co
-10.905 -4.365 4.202 Co
-10.047 -8.185 4.736 Co
-2.665 -5.145 5.089 Co
-4.160 -3.662 8.432 Co
-3.350 -3.036 6.248 Co
-6.582 -6.209 4.841 Co
-2.219 -3.232 4.572 B
-6.166 0.229 -0.877 B
-5.359 -2.258 -2.243 B
-10.937 -4.766 2.211 B
-7.495 -1.175 4.943 Gd
-3.188 -0.561 -0.863 Gd
-8.338 -1.467 -2.257 Gd
-6.935 2.598 0.424 Gd
-4.893 -3.702 3.848 Gd
-4.590 -4.626 -3.544 Gd
-5.661 -6.823 1.840 Gd
-8.264 -4.296 2.935 Gd
```

As for the total energy: -6.952 eV/atom.